[1]
MnGaMoOs | PBE | optimized geometry

Summary:
DFT total energy: -0.314 Ha/atom
symmetry: F-43m
ΔH_f (0 K): 0.009 eV per atom

abc: 4.284 4.284 4.284
angles: 60.00 60.00 60.00
Atoms (fractional coordinates):
Mn 0.000 0.000 0.000
Ga 0.250 0.250 0.250
Mo 0.750 0.750 0.750
Os 0.500 0.500 0.500

=====

[2]
PaMnGaMo | PBE | optimized geometry

Summary:
DFT total energy: -0.300 Ha/atom
symmetry: F-43m
ΔH_f (0 K): -0.028 eV per atom

abc: 4.565 4.565 4.565
angles: 60.00 60.00 60.00
Atoms (fractional coordinates):
Mo 0.750 0.750 0.750
Ga 0.500 0.500 0.500
Pa 0.000 0.000 0.000
Mn 0.250 0.250 0.250

=====

[3]
MnGaMoPt | PBE | optimized geometry

Summary:
DFT total energy: -0.277 Ha/atom
symmetry: F-43m
ΔH_f (0 K): -0.275 eV per atom

abc: 4.349 4.349 4.349
angles: 60.00 60.00 60.00
Atoms (fractional coordinates):
Mo 0.250 0.250 0.250
Pt 0.750 0.750 0.750
Mn 0.000 0.000 0.000
Ga 0.500 0.500 0.500

=====

[4]
MnGaReMo | PBE | optimized geometry

Summary:
DFT total energy: -0.323 Ha/atom
symmetry: F-43m
ΔH_f (0 K): 0.070 eV per atom

abc: 4.314 4.314 4.314
angles: 60.00 60.00 60.00
Atoms (fractional coordinates):
Ga 0.500 0.500 0.500
Mn 0.750 0.750 0.750
Mo 0.000 0.000 0.000
Re 0.250 0.250 0.250

=====

[5]
MnGaMoRh | PBE | optimized geometry

Summary:
DFT total energy: -0.286 Ha/atom
symmetry: F-43m
ΔH_f (0 K): -0.191 eV per atom

abc: 4.316 4.316 4.316
angles: 60.00 60.00 60.00
Atoms (fractional coordinates):
Mo 0.500 0.500 0.500
Mn 0.750 0.750 0.750
Rh 0.000 0.000 0.000
Ga 0.250 0.250 0.250

=====

[6]
Mn2GaMo2Ru5 | PBE | optimized geometry

Summary:
DFT total energy: -0.325 Ha/atom
symmetry: P4/mbm
ΔH_f (0 K): 0.090 eV per atom

abc: 3.898 8.549 8.549
angles: 90.00 90.00 90.00
Atoms (fractional coordinates):
Ru 0.500 0.699 0.423
Ru 0.500 0.423 0.301
Mn 0.000 0.136 0.636
Ru 0.500 0.199 0.077
Mn 0.000 0.864 0.364
Ru 0.500 0.500 0.000
Ru 0.500 0.577 0.699
Mo 0.000 0.342 0.842
Ru 0.500 0.077 0.801
Mo 0.000 0.658 0.158
Ga 0.000 0.500 0.500
Mn 0.000 0.364 0.136
Ga 0.000 0.000 0.000
Ru 0.500 0.801 0.923
Mo 0.000 0.158 0.342
Ru 0.500 0.923 0.199
Mo 0.000 0.842 0.658
Mn 0.000 0.636 0.864
Ru 0.500 0.301 0.577
Ru 0.500 0.000 0.500

=====

[7]
MnGaMoRu | PBE | optimized geometry

Summary:
DFT total energy: -0.300 Ha/atom
symmetry: F-43m
ΔH_f (0 K): -0.100 eV per atom

abc: 4.265 4.265 4.265
angles: 60.00 60.00 60.00
Atoms (fractional coordinates):
Ga 0.750 0.750 0.750
Mo 0.250 0.250 0.250
Ru 0.500 0.500 0.500
Mn 0.000 0.000 0.000

=====

[8]
TaMnGaMo | PBE | optimized geometry

Summary:
DFT total energy: -0.322 Ha/atom
symmetry: F-43m
ΔH_f (0 K): -0.033 eV per atom

abc: 4.426 4.426 4.426
angles: 60.00 60.00 60.00
Atoms (fractional coordinates):
Mo 0.750 0.750 0.750
Mn 0.250 0.250 0.250
Ga 0.000 0.000 0.000
Ta 0.500 0.500 0.500